First-principles (GGA-PBE) data for a geometry-optimized K2ReI2 structure, as listed in Alexandria.

Cell and atoms, written as POSCAR:
```
K2ReI2
1.0
6.817 0.000 0.000
0.000 6.817 0.000
0.000 0.000 12.673
K Re I
4 2 4
Direct
0.000 0.000 0.207 K
0.000 0.000 0.793 K
0.500 0.500 0.293 K
0.500 0.500 0.707 K
0.000 0.000 0.500 Re
0.500 0.500 0.000 Re
0.000 0.500 0.250 I
0.000 0.500 0.750 I
0.500 0.000 0.250 I
0.500 0.000 0.750 I
```

Summary:
Formation energy from raw total energies: 2.2 eV/f.u.